Record 1
# HgS4

A relaxed HgS4 crystal (GGA-PBE, Alexandria).

Results
Spin magnetization   0.000 μB/cell
Formation energy (no corrections)   201 meV per atom

a = 8.8002 Å, b = 8.0310 Å, c = 12.0607 Å
α = 90.00°, β = 90.00°, γ = 90.00°
Last column: nearest neighbours and their distance in Å.
Positions (direct):
Hg  0.0706  0.0883  0.2500  4 S 3.69-3.77
Hg  0.0706  0.4117  0.7500  4 S 3.69-3.77
Hg  0.9294  0.5883  0.2500  4 S 3.69-3.77
Hg  0.9294  0.9117  0.7500  4 S 3.69-3.77
S  0.3096  0.5778  0.1205  1 S 1.91
S  0.3096  0.5778  0.3795  1 S 1.91
S  0.3096  0.9222  0.6205  1 S 1.91
S  0.3096  0.9222  0.8795  1 S 1.91
S  0.4806  0.0865  0.1605  1 S 1.91
S  0.4806  0.0865  0.3395  1 S 1.91
S  0.4806  0.4135  0.6605  1 S 1.91
S  0.4806  0.4135  0.8395  1 S 1.91
S  0.5194  0.5865  0.1605  1 S 1.91
S  0.5194  0.5865  0.3395  1 S 1.91
S  0.5194  0.9135  0.6605  1 S 1.91
S  0.5194  0.9135  0.8395  1 S 1.91
S  0.6904  0.0778  0.1205  1 S 1.91
S  0.6904  0.0778  0.3795  1 S 1.91
S  0.6904  0.4222  0.6205  1 S 1.91
S  0.6904  0.4222  0.8795  1 S 1.91

=====

Record 2
# HgS

A relaxed HgS crystal (GGA-PBE, Alexandria).

Results
Spin magnetization   0.000 μB/cell
Formation energy (no corrections)   -111 meV per atom

a = 7.3136 Å, b = 7.3136 Å, c = 4.2361 Å
α = 90.00°, β = 90.00°, γ = 90.00°
Last column: nearest neighbours and their distance in Å.
Positions (direct):
Hg  0.1857  0.1857  0.0000  4 S 2.55-2.66
Hg  0.3143  0.6857  0.5000  4 S 2.55-2.66
Hg  0.6857  0.3143  0.5000  4 S 2.55-2.66
Hg  0.8143  0.8143  0.0000  4 S 2.55-2.66
S  0.1774  0.8226  0.0000  4 Hg 2.55-2.66
S  0.3226  0.3226  0.5000  4 Hg 2.55-2.66
S  0.6774  0.6774  0.5000  4 Hg 2.55-2.66
S  0.8226  0.1774  0.0000  4 Hg 2.55-2.66

=====

Record 3
# HgS

A relaxed HgS crystal (GGA-PBE, Alexandria).

Results
Spin magnetization   0.000 μB/cell
Formation energy (no corrections)   -130 meV per atom

a = 4.2407 Å, b = 4.2407 Å, c = 6.9265 Å
α = 90.00°, β = 90.00°, γ = 120.00°
Last column: nearest neighbours and their distance in Å.
Positions (direct):
Hg  0.3333  0.6667  0.0000  4 S 2.59-2.61
Hg  0.6667  0.3333  0.5000  4 S 2.59-2.61
S  0.3333  0.6667  0.3762  4 Hg 2.59-2.61
S  0.6667  0.3333  0.8762  4 Hg 2.59-2.61

=====

Record 4
# Hg3S2

A relaxed Hg3S2 crystal (GGA-PBE, Alexandria).

Results
Spin magnetization   0.000 μB/cell
Formation energy (no corrections)   -51 meV per atom

a = 7.2363 Å, b = 7.2363 Å, c = 7.8754 Å
α = 101.39°, β = 101.39°, γ = 124.60°
Last column: nearest neighbours and their distance in Å.
Positions (direct):
Hg  0.0807  0.9193  0.5000  2 S 2.39-2.40
Hg  0.1938  0.4445  0.7221  4 Hg 3.38-3.70, 2 S 3.52
Hg  0.4445  0.1938  0.2221  4 Hg 3.38-3.70, 2 S 3.52
Hg  0.5547  0.8932  0.4472  2 S 2.39-2.40
Hg  0.8932  0.5547  0.9472  2 S 2.39-2.40
Hg  0.9193  0.0807  0.0000  2 S 2.39-2.40
S  0.0135  0.4472  0.1913  2 Hg 2.39-2.40
S  0.4472  0.0135  0.6913  2 Hg 2.39-2.40
S  0.7295  0.7951  0.2558  2 Hg 2.39-2.40
S  0.7951  0.7295  0.7558  2 Hg 2.39-2.40

=====

Record 5
# HgS

A relaxed HgS crystal (GGA-PBE, Alexandria).

Results
Spin magnetization   0.000 μB/cell
Formation energy (no corrections)   -69 meV per atom

a = 7.5775 Å, b = 7.6933 Å, c = 7.7218 Å
α = 90.00°, β = 90.00°, γ = 90.00°
Last column: nearest neighbours and their distance in Å.
Positions (direct):
Hg  0.2184  0.1043  0.4566  4 S 2.56-2.69
Hg  0.2412  0.4062  0.1222  2 S 2.37-2.38
Hg  0.2588  0.5938  0.6222  2 S 2.37-2.38
Hg  0.2816  0.8957  0.9566  4 S 2.56-2.69
Hg  0.7184  0.3957  0.5434  4 S 2.56-2.69
Hg  0.7412  0.0938  0.8778  2 S 2.37-2.38
Hg  0.7588  0.9062  0.3778  2 S 2.37-2.38
Hg  0.7816  0.6043  0.0434  4 S 2.56-2.69
S  0.1073  0.6822  0.1567  2 Hg 2.37-2.61
S  0.1134  0.8653  0.6638  3 Hg 2.38-2.61
S  0.3866  0.1347  0.1638  3 Hg 2.38-2.61
S  0.3927  0.3178  0.6566  2 Hg 2.37-2.61
S  0.6073  0.8178  0.8434  2 Hg 2.37-2.61
S  0.6134  0.6347  0.3362  3 Hg 2.38-2.61
S  0.8866  0.3653  0.8362  3 Hg 2.38-2.61
S  0.8927  0.1822  0.3434  2 Hg 2.37-2.61

=====

Record 6
# HgS

A relaxed HgS crystal (GGA-PBE, Alexandria).

Results
Spin magnetization   0.000 μB/cell
Formation energy (no corrections)   -133 meV per atom

a = 4.2403 Å, b = 4.2403 Å, c = 4.2403 Å
α = 60.00°, β = 60.00°, γ = 60.00°
Last column: nearest neighbours and their distance in Å.
Positions (direct):
Hg  0.0000  0.0000  0.0000  4 S 2.60
S  0.7500  0.7500  0.7500  4 Hg 2.60

=====

Record 7
# HgS

A relaxed HgS crystal (GGA-PBE, Alexandria).

Results
Spin magnetization   0.000 μB/cell
Formation energy (no corrections)   128 meV per atom

a = 4.6247 Å, b = 4.6360 Å, c = 4.6405 Å
α = 90.00°, β = 91.49°, γ = 90.00°
Last column: nearest neighbours and their distance in Å.
Positions (direct):
Hg  0.0230  0.2500  0.2663  4 S 2.64-2.79
Hg  0.9770  0.7500  0.7337  4 S 2.64-2.79
S  0.2916  0.7500  0.2279  4 Hg 2.64-2.79
S  0.7084  0.2500  0.7721  4 Hg 2.64-2.79

=====

Record 8
# HgS3

A relaxed HgS3 crystal (GGA-PBE, Alexandria).

Results
Spin magnetization   0.000 μB/cell
Formation energy (no corrections)   110 meV per atom

a = 5.4968 Å, b = 4.2993 Å, c = 9.4607 Å
α = 90.00°, β = 106.56°, γ = 90.00°
Last column: nearest neighbours and their distance in Å.
Positions (direct):
Hg  0.2278  0.2500  0.4575  4 S 2.54-2.82
Hg  0.7722  0.7500  0.5425  4 S 2.54-2.82
S  0.1404  0.7500  0.1365  1 S 1.89
S  0.2117  0.2500  0.9624  1 S 1.89
S  0.3016  0.7500  0.6067  4 Hg 2.54-2.82
S  0.6984  0.2500  0.3933  4 Hg 2.54-2.82
S  0.7883  0.7500  0.0376  1 S 1.89
S  0.8596  0.2500  0.8635  1 S 1.89

=====

Record 9
# HgS4

A relaxed HgS4 crystal (GGA-PBE, Alexandria).

Results
Spin magnetization   4.594 μB/cell
Formation energy (no corrections)   1367 meV per atom

a = 5.0918 Å, b = 5.0918 Å, c = 5.0918 Å
α = 90.00°, β = 90.00°, γ = 90.00°
Last column: nearest neighbours and their distance in Å.
Positions (direct):
Hg  0.0000  0.0000  0.0000  6 S 2.55
S  0.0000  0.0000  0.5000  2 Hg 2.55
S  0.0000  0.5000  0.0000  2 Hg 2.55
S  0.5000  0.0000  0.0000  2 Hg 2.55
S  0.5000  0.5000  0.5000  12 S 3.60

=====

Record 10
# HgS

A relaxed HgS crystal (GGA-PBE, Alexandria).

Results
Spin magnetization   0.000 μB/cell
Formation energy (no corrections)   -55 meV per atom

a = 7.0675 Å, b = 7.0675 Å, c = 7.0675 Å
α = 109.47°, β = 109.47°, γ = 109.47°
Last column: nearest neighbours and their distance in Å.
Positions (direct):
Hg  0.0000  0.0000  0.3405  4 S 2.44-2.68
Hg  0.0000  0.3405  0.0000  4 S 2.44-2.68
Hg  0.3405  0.0000  0.0000  4 S 2.44-2.68
Hg  0.6595  0.6595  0.6595  4 S 2.44-2.68
S  0.0000  0.0000  0.6855  4 Hg 2.44-2.68
S  0.0000  0.6855  0.0000  4 Hg 2.44-2.68
S  0.3145  0.3145  0.3145  4 Hg 2.44-2.68
S  0.6855  0.0000  0.0000  4 Hg 2.44-2.68

=====

Record 11
# HgS

A relaxed HgS crystal (GGA-PBE, Alexandria).

Results
Spin magnetization   0.000 μB/cell
Formation energy (no corrections)   -76 meV per atom

a = 8.1123 Å, b = 8.1123 Å, c = 8.1123 Å
α = 93.78°, β = 93.78°, γ = 150.25°
Last column: nearest neighbours and their distance in Å.
Positions (direct):
Hg  0.1081  0.6822  0.7903  3 S 2.49-2.57
Hg  0.3178  0.1081  0.4259  3 S 2.49-2.57
Hg  0.6822  0.8919  0.5741  3 S 2.49-2.57
Hg  0.8919  0.3178  0.2097  3 S 2.49-2.57
S  0.1127  0.2749  0.3876  3 Hg 2.49-2.57
S  0.2749  0.8873  0.1622  3 Hg 2.49-2.57
S  0.7251  0.1127  0.8378  3 Hg 2.49-2.57
S  0.8873  0.7251  0.6124  3 Hg 2.49-2.57

=====

Record 12
# HgSbS

A relaxed HgSbS crystal (GGA-PBE, Alexandria).

Results
Spin magnetization   0.000 μB/cell
Formation energy (no corrections)   -38 meV per atom

a = 5.1405 Å, b = 6.6328 Å, c = 6.7168 Å
α = 79.26°, β = 80.99°, γ = 67.46°
Last column: nearest neighbours and their distance in Å.
Positions (direct):
Hg  0.0000  0.0000  0.0000  1 Hg 2.70, 1 Sb 2.79, 1 S 2.95
Hg  0.1679  0.5688  0.1535  1 S 2.58, 1 Hg 2.70
Sb  0.0432  0.3803  0.7630  1 S 2.46
Sb  0.5946  0.1288  0.5594  2 S 2.43-2.51
S  0.4382  0.1503  0.2298  1 Sb 2.43, 1 Hg 2.58
S  0.7232  0.4663  0.4962  2 Sb 2.46-2.51

=====

What raw total energy values result from the calculations? In sequence: -3.161 -2.326 -2.345 -1.883 -2.284 -2.347 -2.087 -3.061 -1.995 -2.269 -2.290 -2.888 eV/atom.